This record from the Alexandria database describes a relaxed ScTeAuN2 crystal. The functional is PBE-GGA.

**D(E_F)**: 3.47 states/eV/cell
**E above lowest polymorph**: 0.479 eV/atom
**Magnetic moment**: 1.96 μB per formula unit
**Electronic total energy**: -4.68 eV per atom

a = 4.1672 Å, b = 4.1672 Å, c = 5.5893 Å
α = 90.00°, β = 90.00°, γ = 90.00°
Last column: nearest neighbours and their distance in Å.
Atoms (fractional coordinates):
1 N 0.0000 0.5000 0.0000  2 Au 2.08
2 N 0.5000 0.0000 0.0000  2 Au 2.08
3 Te 0.0000 0.0000 0.5000  2 Au 2.79, 4 Sc 2.95
4 Au 0.0000 0.0000 0.0000  4 N 2.08
5 Sc 0.5000 0.5000 0.5000  4 Te 2.95